Entry from Alexandria: a relaxed GaTe2H crystal (PBE-GGA).

Properties
- Total energy: -2.645 eV/atom
- Symmetry: R-3m, No. 166
- Total moment: 0.00 Bohr magnetons per cell

Geometry as CIF:
```
data_GaTe2H
_space_group_name_H-M_alt 'P 1'
_space_group_IT_number 1
_cell_length_a 9.576
_cell_length_b 9.576
_cell_length_c 9.576
_cell_angle_alpha 19.26
_cell_angle_beta 19.26
_cell_angle_gamma 19.26
loop_
_space_group_symop_operation_xyz
'x,y,z'
loop_
_atom_site_label
_atom_site_fract_x
_atom_site_fract_y
_atom_site_fract_z
_atom_site_occupancy
H1 0.500 0.500 0.500 1
Te1 0.105 0.105 0.105 1
Ga1 0.000 0.000 0.000 1
Te2 0.895 0.895 0.895 1
```

Entry from Alexandria: a relaxed Cd2RuAu crystal (PBE-GGA).

Properties
- Total energy: -3.335 eV/atom
- Symmetry: P4mm, No. 99
- Total moment: 0.30 Bohr magnetons per cell

Geometry as CIF:
```
data_Cd2RuAu
_space_group_name_H-M_alt 'P 1'
_space_group_IT_number 1
_cell_length_a 3.416
_cell_length_b 3.416
_cell_length_c 6.249
_cell_angle_alpha 90.00
_cell_angle_beta 90.00
_cell_angle_gamma 90.00
loop_
_space_group_symop_operation_xyz
'x,y,z'
loop_
_atom_site_label
_atom_site_fract_x
_atom_site_fract_y
_atom_site_fract_z
_atom_site_occupancy
Ru1 0.000 0.000 0.499 1
Cd1 0.500 0.500 0.273 1
Cd2 0.000 0.000 0.987 1
Au1 0.500 0.500 0.741 1
```

Entry from Alexandria: a relaxed Pr4DyIn crystal (PBE-GGA).

Properties
- Total energy: -4.459 eV/atom
- Symmetry: Cmc2_1, No. 36
- Total moment: 0.00 Bohr magnetons per cell

Geometry as CIF:
```
data_Pr4DyIn
_space_group_name_H-M_alt 'P 1'
_space_group_IT_number 1
_cell_length_a 5.448
_cell_length_b 6.719
_cell_length_c 11.330
_cell_angle_alpha 90.00
_cell_angle_beta 103.91
_cell_angle_gamma 90.00
loop_
_space_group_symop_operation_xyz
'x,y,z'
loop_
_atom_site_label
_atom_site_fract_x
_atom_site_fract_y
_atom_site_fract_z
_atom_site_occupancy
Pr1 0.435 0.949 0.870 1
Pr2 0.978 0.314 0.957 1
Pr3 0.841 0.126 0.683 1
In1 0.869 0.668 0.738 1
Pr4 0.159 0.626 0.317 1
Pr5 0.565 0.449 0.130 1
In2 0.131 0.168 0.262 1
Dy1 0.636 0.935 0.272 1
Pr6 0.022 0.814 0.043 1
Dy2 0.364 0.435 0.728 1
Pr7 0.270 0.941 0.540 1
Pr8 0.730 0.441 0.460 1
```

Entry from Alexandria: a relaxed ZrBiIrO6 crystal (PBE-GGA).

Properties
- Raw formation energy: -1650 meV per atom
- Symmetry: P-31c, No. 163
- Total moment: 3.82 Bohr magnetons per cell

Geometry as CIF:
```
data_ZrBiIrO6
_space_group_name_H-M_alt 'P 1'
_space_group_IT_number 1
_cell_length_a 5.384
_cell_length_b 5.384
_cell_length_c 10.009
_cell_angle_alpha 90.00
_cell_angle_beta 90.00
_cell_angle_gamma 120.00
loop_
_space_group_symop_operation_xyz
'x,y,z'
loop_
_atom_site_label
_atom_site_fract_x
_atom_site_fract_y
_atom_site_fract_z
_atom_site_occupancy
O1 0.982 0.351 0.138 1
O2 0.351 0.982 0.638 1
O3 0.632 0.982 0.862 1
O4 0.018 0.368 0.638 1
O5 0.351 0.368 0.862 1
O6 0.368 0.018 0.138 1
O7 0.982 0.632 0.362 1
Zr1 0.333 0.667 0.250 1
O8 0.018 0.649 0.862 1
Ir1 0.667 0.333 0.250 1
O9 0.649 0.632 0.138 1
O10 0.649 0.018 0.362 1
O11 0.632 0.649 0.638 1
Bi1 0.000 0.000 0.500 1
Zr2 0.667 0.333 0.750 1
Ir2 0.333 0.667 0.750 1
Bi2 0.000 0.000 0.000 1
O12 0.368 0.351 0.362 1
```

Question: total moment of number 4 (ZrBiIrO6)?
Answer: 3.82 Bohr magnetons per cell

What did the third record say?
Entry from Alexandria: a relaxed Pr4DyIn crystal (PBE-GGA).

Properties
- Total energy: -4.459 eV/atom
- Symmetry: Cmc2_1, No. 36
- Total moment: 0.00 Bohr magnetons per cell

Geometry as CIF:
```
data_Pr4DyIn
_space_group_name_H-M_alt 'P 1'
_space_group_IT_number 1
_cell_length_a 5.448
_cell_length_b 6.719
_cell_length_c 11.330
_cell_angle_alpha 90.00
_cell_angle_beta 103.91
_cell_angle_gamma 90.00
loop_
_space_group_symop_operation_xyz
'x,y,z'
loop_
_atom_site_label
_atom_site_fract_x
_atom_site_fract_y
_atom_site_fract_z
_atom_site_occupancy
Pr1 0.435 0.949 0.870 1
Pr2 0.978 0.314 0.957 1
Pr3 0.841 0.126 0.683 1
In1 0.869 0.668 0.738 1
Pr4 0.159 0.626 0.317 1
Pr5 0.565 0.449 0.130 1
In2 0.131 0.168 0.262 1
Dy1 0.636 0.935 0.272 1
Pr6 0.022 0.814 0.043 1
Dy2 0.364 0.435 0.728 1
Pr7 0.270 0.941 0.540 1
Pr8 0.730 0.441 0.460 1
```